(A)
Mo2AsCl GGA-PBE relaxed; total moment = 0.00 μB per atom; space group = Fm-3m (225)
1.0
-0.708 -2.842 3.306
-4.113 -0.750 1.424
-1.942 -3.885 -0.805
Mo As Cl
2 1 1
direct
0.250 0.250 0.250 Mo
0.750 0.750 0.750 Mo
0.500 0.500 0.500 As
0.000 0.000 0.000 Cl

***

(B)
Mo2AsCl GGA-PBE relaxed; total moment = 0.00 μB per atom; space group = P2/m (10)
1.0
-0.690 1.522 2.461
-5.087 -1.562 -0.461
-2.600 -4.257 1.903
Mo As Cl
2 1 1
direct
0.000 0.000 0.000 Mo
0.500 0.500 0.000 Mo
0.500 0.500 0.500 As
0.000 0.000 0.500 Cl

***

(C)
Mo2AsCl GGA-PBE relaxed; total moment = 0.00 μB per atom; space group = Cm (8)
1.0
-1.788 -4.723 0.190
0.285 -4.534 -2.216
4.495 -1.565 3.750
Mo As Cl
2 1 1
direct
0.110 0.110 0.910 Mo
0.716 0.716 0.658 Mo
0.457 0.457 0.663 As
0.217 0.217 0.269 Cl

***

The relative energies come out as (A) 251; (B) 238; (C) 0, with values in meV/atom.

***

(A)
Mo2AsCl GGA-PBE relaxed; total moment = 0.00 μB per atom; space group = Pmm2 (25)
1.0
-1.117 -2.030 -1.768
3.039 0.605 -2.614
3.696 -4.809 3.184
Mo As Cl
2 1 1
direct
0.000 0.000 0.036 Mo
0.500 0.500 0.210 Mo
0.000 0.000 0.395 As
0.500 0.500 0.859 Cl

***

(B)
Mo2AsCl GGA-PBE relaxed; total moment = 0.10 μB per atom; space group = F-43m (216)
1.0
4.547 0.000 0.000
2.274 3.938 0.000
2.274 1.313 3.713
Mo As Cl
2 1 1
direct
0.000 0.000 0.000 Mo
0.750 0.750 0.750 Mo
0.500 0.500 0.500 As
0.250 0.250 0.250 Cl

***

(C)
Mo2AsCl GGA-PBE relaxed; total moment = 0.00 μB per atom; space group = P4mm (99)
1.0
3.108 0.000 0.000
0.000 3.108 0.000
0.000 0.000 7.895
Mo As Cl
2 1 1
direct
0.000 0.000 0.033 Mo
0.500 0.500 0.239 Mo
0.000 0.000 0.416 As
0.500 0.500 0.813 Cl

***

(D)
Mo2AsCl GGA-PBE relaxed; total moment = 0.00 μB per atom; space group = I-4m2 (119)
1.0
-1.051 -1.981 4.355
4.061 -1.997 1.875
-0.881 4.451 -1.844
Mo As Cl
2 1 1
direct
0.000 0.000 0.000 Mo
0.250 0.750 0.500 Mo
0.500 0.500 0.000 As
0.750 0.250 0.500 Cl

***

The relative energies come out as (A) 161; (B) 782; (C) 0; (D) 645, with values in meV/atom.

***

(A)
MoAsCl2 GGA-PBE relaxed; total moment = 0.72 μB per atom; space group = P4/mmm (123)
1.0
4.356 0.000 0.000
0.000 4.250 0.000
0.000 0.000 4.250
Mo As Cl
1 1 2
direct
0.500 0.500 0.000 Mo
0.500 0.000 0.500 As
0.000 0.000 0.000 Cl
0.000 0.500 0.500 Cl

***

(B)
MoAsCl2 GGA-PBE relaxed; total moment = 0.00 μB per atom; space group = P4mm (99)
1.0
-1.994 0.228 -2.603
-0.458 -3.253 0.066
-7.095 1.111 5.532
Mo As Cl
1 1 2
direct
0.000 0.000 0.685 Mo
0.500 0.500 0.563 As
0.000 0.000 0.933 Cl
0.500 0.500 0.319 Cl

***

The relative energies come out as (A) 901; (B) 0, with values in meV/atom.

***

(A)
MoAsCl2 GGA-PBE relaxed; total moment = 0.09 μB per atom; space group = P4/mmm (123)
1.0
2.958 0.000 0.000
0.000 2.958 0.000
0.000 0.000 9.813
Mo As Cl
1 1 2
direct
0.500 0.500 0.250 Mo
0.500 0.500 0.750 As
0.000 0.000 0.097 Cl
0.000 0.000 0.403 Cl

***

(B)
MoAsCl2 GGA-PBE relaxed; total moment = 0.00 μB per atom; space group = Cm (8)
1.0
-3.160 0.926 -3.575
-1.976 -1.942 -3.994
-6.603 -2.999 1.856
Mo As Cl
1 1 2
direct
0.470 0.470 0.375 Mo
0.180 0.180 0.375 As
0.998 0.998 0.104 Cl
0.851 0.851 0.646 Cl

***

The relative energies come out as (A) 643; (B) 0, with values in meV/atom.

***

(A)
MoAsCl2 GGA-PBE relaxed; total moment = 0.28 μB per atom; space group = Cmmm (65)
1.0
-0.259 3.152 -0.057
-2.259 -2.002 0.944
4.285 0.560 11.438
Mo As Cl
1 1 2
direct
0.500 0.500 0.250 Mo
0.500 0.500 0.750 As
0.000 0.000 0.091 Cl
0.000 0.000 0.409 Cl

***

(B)
MoAsCl2 GGA-PBE relaxed; total moment = 0.17 μB per atom; space group = Cmmm (65)
1.0
3.155 0.000 0.000
0.000 7.366 0.493
0.000 5.398 5.040
Mo As Cl
1 1 2
direct
0.500 0.250 0.250 Mo
0.500 0.750 0.750 As
0.000 0.114 0.114 Cl
0.000 0.386 0.386 Cl

***

(C)
MoAsCl2 GGA-PBE relaxed; total moment = 0.53 μB per atom; space group = Cmmm (65)
1.0
5.116 0.073 0.000
-1.725 4.817 0.000
0.000 0.000 2.988
Mo As Cl
1 1 2
direct
0.500 0.000 0.500 Mo
0.000 0.500 0.500 As
0.000 0.000 0.000 Cl
0.500 0.500 0.000 Cl

***

The relative energies come out as (A) 411; (B) 0; (C) 1073, with values in meV/atom.

***

(A)
MoAsCl3 GGA-PBE relaxed; total moment = 1.20 μB per atom; space group = Pm-3m (221)
1.0
-1.984 -0.761 4.569
3.239 -3.781 0.777
3.311 3.243 1.978
Mo As Cl
1 1 3
direct
0.000 0.000 0.000 Mo
0.500 0.500 0.500 As
0.000 0.500 0.000 Cl
0.000 0.000 0.500 Cl
0.500 0.000 0.000 Cl

***

(B)
MoAsCl3 GGA-PBE relaxed; total moment = 0.39 μB per atom; space group = P2_1/m (11)
1.0
-3.706 2.422 -2.460
-4.984 -4.743 2.838
1.944 2.768 8.041
Mo As Cl
2 2 6
direct
0.026 0.448 0.791 Mo
0.008 0.948 0.769 Mo
0.463 0.948 0.712 As
0.571 0.448 0.849 As
0.796 0.448 0.133 Cl
0.238 0.948 0.427 Cl
0.852 0.219 0.571 Cl
0.852 0.676 0.571 Cl
0.183 0.719 0.990 Cl
0.183 0.176 0.990 Cl

***

(C)
MoAsCl3 GGA-PBE relaxed; total moment = 1.03 μB per atom; space group = Pm-3m (221)
1.0
-4.910 -1.211 0.681
0.657 -4.227 -2.781
1.224 -2.589 4.223
Mo As Cl
1 1 3
direct
0.500 0.500 0.500 Mo
0.000 0.000 0.000 As
0.000 0.500 0.000 Cl
0.000 0.000 0.500 Cl
0.500 0.000 0.000 Cl

***

The relative energies come out as (A) 574; (B) 0; (C) 958, with values in meV/atom.